An optimized crystal structure of Nd2YTmSe5. Source: Alexandria, functional GGA-PBE.

a = 5.0751 Å, b = 5.0751 Å, c = 10.6894 Å
α = 90.00°, β = 90.00°, γ = 90.00°
Last column: nearest neighbours and their distance in Å.
Atoms (fractional coordinates):
Nd 0.5000 0.5000 0.6877  5 Se 3.24-3.34
Nd 0.5000 0.5000 0.3123  5 Se 3.24-3.34
Se 0.0000 0.0000 0.2467  1 Y 2.64, 1 Tm 2.71
Se 0.0000 0.0000 0.7533  1 Y 2.64, 1 Tm 2.71
Se 0.5000 0.5000 0.0000  2 Nd 3.34, 4 Y 3.59
Se 0.5000 0.0000 0.5000  2 Tm 2.54
Se 0.0000 0.5000 0.5000  2 Tm 2.54
Tm 0.0000 0.0000 0.5000  6 Se 2.54-2.71
Y 0.0000 0.0000 0.0000  2 Se 2.64

- Symmetry: P4/mmm, No. 123
- Total DFT energy (no corrections): -0.2026 hartree per atom



An optimized crystal structure of NdYTm2Se4. Source: Alexandria, functional GGA-PBE.

a = 4.0191 Å, b = 7.2389 Å, c = 7.0178 Å
α = 71.40°, β = 90.00°, γ = 90.00°
Last column: nearest neighbours and their distance in Å.
Atoms (fractional coordinates):
Y 0.0000 0.5000 0.5000  6 Se 2.93
Se 0.5000 0.2381 0.7490  3 Tm 2.82-2.86, 2 Y 2.93, 1 Nd 2.97
Se 0.0000 0.2341 0.2606  3 Tm 2.81-2.86, 1 Y 2.93, 2 Nd 2.97
Se 0.5000 0.7619 0.2510  3 Tm 2.82-2.86, 2 Y 2.93, 1 Nd 2.97
Se 0.0000 0.7660 0.7394  3 Tm 2.81-2.86, 1 Y 2.93, 2 Nd 2.97
Nd 0.5000 0.5000 0.0000  6 Se 2.97
Tm 0.5000 0.0000 0.5000  6 Se 2.81-2.82
Tm 0.0000 0.0000 0.0000  6 Se 2.86

- Symmetry: P2/m, No. 10
- Total DFT energy (no corrections): -0.2203 hartree per atom



An optimized crystal structure of NdYTm2Se6. Source: Alexandria, functional GGA-PBE.

a = 7.2322 Å, b = 7.2322 Å, c = 7.6930 Å
α = 61.96°, β = 61.96°, γ = 59.99°
Last column: nearest neighbours and their distance in Å.
Atoms (fractional coordinates):
Tm 0.0111 0.0112 0.9666  6 Se 2.80-2.86
Tm 0.5141 0.5141 0.4577  6 Se 2.81-2.86
Y 0.3172 0.3171 0.0485  6 Se 2.86-2.91
Se 0.7290 0.1306 0.7473  2 Tm 2.80-2.86, 1 Y 2.91, 1 Nd 2.92
Se 0.3931 0.7290 0.7472  2 Tm 2.80-2.86, 1 Y 2.91, 1 Nd 2.92
Se 0.6158 0.2305 0.2458  2 Tm 2.81-2.86, 1 Y 2.86, 1 Nd 3.03
Se 0.1307 0.3932 0.7473  2 Tm 2.80-2.86, 1 Y 2.91, 1 Nd 2.92
Se 0.9080 0.6158 0.2458  2 Tm 2.81-2.86, 1 Y 2.86, 1 Nd 3.03
Se 0.2305 0.9079 0.2458  2 Tm 2.81-2.86, 1 Y 2.86, 1 Nd 3.03
Nd 0.8122 0.8122 0.5634  6 Se 2.92-3.03

- Symmetry: R3, No. 146
- Total DFT energy (no corrections): -0.2187 hartree per atom



| no. | raw formation energy (meV per atom) | M_tot (Bohr magnetons per cell) |
| --- | --- | --- |
| 1 | -1302 | 0.0 |
| 2 | -1731 | 0.0 |
| 3 | -1842 | 0.0 |